LaYAs2O8 | PBE | relaxed

Summary:
* formation energy without anion corrections: -2.337 eV/atom
* total DFT energy (no corrections): -88.4 eV per formula unit

Unit cell a=6.8817 b=6.8817 c=6.8817 alpha=136.08 beta=136.08 gamma=63.85
Positions (direct):
La  0.0000  0.0000  0.0000
Y  0.2500  0.7500  0.5000
As  0.5000  0.5000  0.0000
As  0.7500  0.2500  0.5000
O  0.2867  0.6694  0.1162
O  0.3306  0.4469  0.6174
O  0.4264  0.0260  0.1025
O  0.5531  0.1705  0.8838
O  0.6761  0.5736  0.5995
O  0.8295  0.7133  0.3826
O  0.9234  0.3239  0.8975
O  0.9740  0.0766  0.4005